A crystal of Mn3WN relaxed with PBEsol. Source: Alexandria via LeMat-Bulk, functional meta-GGA SCAN.

Unit cell a=3.730 b=3.730 c=3.730 alpha=90.00 beta=90.00 gamma=90.00
Fractional coordinates of all 5 atoms:
Mn 0.000 0.000 0.500
Mn 0.000 0.500 0.000
Mn 0.500 0.000 0.000
W 0.500 0.500 0.500
N 0.000 0.000 0.000

Output
Energy relative to the elements, uncorrected   -0.0362 eV per atom


A crystal of CsTiBr3 relaxed with PBEsol. Source: Alexandria via LeMat-Bulk, functional meta-GGA SCAN.

Unit cell a=5.286 b=5.286 c=5.286 alpha=90.00 beta=90.00 gamma=90.00
Fractional coordinates of all 5 atoms:
Cs 0.000 0.000 0.000
Ti 0.500 0.500 0.500
Br 0.000 0.500 0.500
Br 0.500 0.000 0.500
Br 0.500 0.500 0.000

Output
Energy relative to the elements, uncorrected   -1.5539 eV per atom
Offset from the most stable computed form   51 meV per atom


The calculation returns the following total magnetization values, one per record and in order: 0.0, 2.0 μB/f.u..